Entry 1:
{"formula": "PtSeN2Cl", "functional": "PBE", "state": "optimized geometry", "cell": [[3.557, 0.000, 0.000], [0.000, 3.557, 0.000], [0.000, 0.000, 7.863]], "species": ["N", "N", "Se", "Pt", "Cl"], "fractional_positions": [[0.000, 0.500, 0.000], [0.500, 0.000, 0.000], [0.000, 0.000, 0.500], [0.500, 0.500, 0.500], [0.000, 0.000, 0.000]], "spacegroup": "P4/mmm, No. 123", "magmom_total_mub_per_cell": 0.6, "crystal_system": "tetragonal", "de_polymorph_mev_per_atom": 977, "volume_a3_per_atom": 19.90, "e_form_raw_ev_per_atom": 2.15}

Entry 2:
{"formula": "CsLiRu2O8", "functional": "PBE", "state": "optimized geometry", "cell": [[-4.234, 2.905, 1.758], [-4.390, -0.389, -3.166], [-3.720, -6.426, 4.417]], "species": ["Cs", "Li", "Ru", "Ru", "O", "O", "O", "O", "O", "O", "O", "O"], "fractional_positions": [[0.000, 0.000, 0.500], [0.000, 0.000, 0.000], [0.621, 0.621, 0.196], [0.379, 0.379, 0.804], [0.729, 0.243, 0.823], [0.772, 0.772, 0.051], [0.677, 0.677, 0.383], [0.323, 0.323, 0.617], [0.228, 0.228, 0.949], [0.243, 0.729, 0.823], [0.757, 0.271, 0.177], [0.271, 0.757, 0.177]], "spacegroup": "C2/m, No. 12", "magmom_total_mub_per_cell": 2.1, "crystal_system": "monoclinic", "volume_a3_per_atom": 19.25, "e_form_raw_ev_per_atom": -1.10}